Record 1
A plane-wave DFT calculation with PBE-GGA was carried out for Lu2ScPa after structural relaxation.

Unit cell a=5.530 b=5.530 c=3.524 alpha=90.00 beta=90.00 gamma=90.00
Atoms (fractional coordinates):
Lu1 0.000 0.500 0.000
Lu2 0.500 0.000 0.000
Sc1 0.000 0.000 0.500
Pa1 0.500 0.500 0.500

Properties
* E above lowest polymorph: 141.3 meV/atom
* total magnetic moment: 0.01 Bohr magnetons per cell
* energy of formation: 0.258 eV/atom
* calculated total energy: -23.84 eV per cell
* V: 26.94 Å³/atom
* SG: P4/mmm, No. 123

---

Record 2
A plane-wave DFT calculation with PBE-GGA was carried out for Lu2ScPa after structural relaxation.

Unit cell a=3.303 b=3.303 c=9.846 alpha=90.00 beta=90.00 gamma=90.00
Atoms (fractional coordinates):
Lu1 0.000 0.000 0.247
Lu2 0.000 0.000 0.753
Sc1 0.500 0.500 0.500
Pa1 0.500 0.500 0.000

Properties
* E above lowest polymorph: 0.0 meV/atom
* total magnetic moment: 0.17 Bohr magnetons per cell
* energy of formation: 0.117 eV/atom
* calculated total energy: -24.40 eV per cell
* V: 26.86 Å³/atom
* SG: P4/mmm, No. 123

---

Record 3
A plane-wave DFT calculation with PBE-GGA was carried out for TmLuScPa after structural relaxation.

Unit cell a=5.368 b=5.368 c=5.368 alpha=60.00 beta=60.00 gamma=60.00
Atoms (fractional coordinates):
Tm1 0.000 0.000 0.000
Lu1 0.750 0.750 0.750
Sc1 0.500 0.500 0.500
Pa1 0.250 0.250 0.250

Properties
* total magnetic moment: 0.00 Bohr magnetons per cell
* energy of formation: 0.264 eV/atom
* calculated total energy: -23.77 eV per cell
* V: 27.34 Å³/atom
* SG: F-43m, No. 216

---

Record 4
A plane-wave DFT calculation with PBE-GGA was carried out for LuPaSe2 after structural relaxation.

Unit cell a=9.313 b=9.313 c=9.313 alpha=23.80 beta=23.80 gamma=23.80
Atoms (fractional coordinates):
Lu1 0.000 0.000 0.000
Pa1 0.500 0.500 0.500
Se1 0.394 0.394 0.394
Se2 0.606 0.606 0.606

Properties
* total magnetic moment: 2.37 Bohr magnetons per cell
* E_form (uncorrected): -0.94 eV/atom
* calculated total energy: -24.75 eV per cell
* V: 28.89 Å³/atom
* SG: R-3m, No. 166

---

Record 5
A plane-wave DFT calculation with PBE-GGA was carried out for LuPa2Si after structural relaxation.

Unit cell a=4.282 b=4.282 c=4.857 alpha=90.00 beta=90.00 gamma=90.00
Atoms (fractional coordinates):
Lu1 0.000 0.000 0.000
Pa1 0.000 0.500 0.500
Pa2 0.500 0.000 0.500
Si1 0.500 0.500 0.000

Properties
* E above lowest polymorph: 0.0 meV/atom
* total magnetic moment: 0.00 Bohr magnetons per cell
* E_form (uncorrected): -0.20 eV/atom
* calculated total energy: -29.74 eV per cell
* V: 22.26 Å³/atom
* SG: P4/mmm, No. 123

---

Record 6
A plane-wave DFT calculation with PBE-GGA was carried out for LuPaSi2 after structural relaxation.

Unit cell a=5.590 b=5.590 c=5.590 alpha=47.57 beta=47.57 gamma=47.57
Atoms (fractional coordinates):
Lu1 0.000 0.000 0.000
Pa1 0.500 0.500 0.500
Si1 0.255 0.255 0.255
Si2 0.745 0.745 0.745

Properties
* total magnetic moment: 0.00 Bohr magnetons per cell
* E_form (uncorrected): -0.44 eV/atom
* calculated total energy: -26.61 eV per cell
* V: 21.77 Å³/atom
* SG: R-3m, No. 166

---

Record 7
A plane-wave DFT calculation with PBE-GGA was carried out for LuPa2Si after structural relaxation.

Unit cell a=11.215 b=11.215 c=11.215 alpha=16.22 beta=16.22 gamma=16.22
Atoms (fractional coordinates):
Lu1 0.000 0.000 0.000
Pa1 0.095 0.095 0.095
Pa2 0.905 0.905 0.905
Si1 0.500 0.500 0.500

Properties
* E above lowest polymorph: 386.9 meV/atom
* total magnetic moment: 0.00 Bohr magnetons per cell
* E_form (uncorrected): 0.18 eV/atom
* calculated total energy: -28.20 eV per cell
* V: 23.98 Å³/atom
* SG: R-3m, No. 166

---

Record 8
A plane-wave DFT calculation with PBE-GGA was carried out for LuPaZnSi after structural relaxation.

Unit cell a=4.919 b=4.919 c=4.919 alpha=60.00 beta=60.00 gamma=60.00
Atoms (fractional coordinates):
Lu1 0.000 0.000 0.000
Pa1 0.500 0.500 0.500
Zn1 0.750 0.750 0.750
Si1 0.250 0.250 0.250

Properties
* total magnetic moment: 0.40 Bohr magnetons per cell
* E_form (uncorrected): -0.23 eV/atom
* calculated total energy: -21.63 eV per cell
* V: 21.04 Å³/atom
* SG: F-43m, No. 216

---

Record 9
A plane-wave DFT calculation with PBE-GGA was carried out for SmLuPa4 after structural relaxation.

Unit cell a=6.150 b=6.150 c=6.150 alpha=60.00 beta=60.00 gamma=60.00
Atoms (fractional coordinates):
Sm1 0.000 0.000 0.000
Lu1 0.750 0.750 0.750
Pa1 0.375 0.375 0.375
Pa2 0.375 0.375 0.874
Pa3 0.375 0.874 0.375
Pa4 0.874 0.375 0.375

Properties
* total magnetic moment: 0.00 Bohr magnetons per cell
* energy of formation: 0.238 eV/atom
* calculated total energy: -45.80 eV per cell
* V: 27.41 Å³/atom
* SG: F-43m, No. 216

---

Record 10
A plane-wave DFT calculation with PBE-GGA was carried out for Sm2LuPa after structural relaxation.

Unit cell a=4.954 b=4.954 c=4.889 alpha=90.00 beta=90.00 gamma=90.00
Atoms (fractional coordinates):
Sm1 0.000 0.500 0.000
Sm2 0.500 0.000 0.000
Lu1 0.000 0.000 0.500
Pa1 0.500 0.500 0.500

Properties
* E above lowest polymorph: 73.9 meV/atom
* total magnetic moment: 0.00 Bohr magnetons per cell
* energy of formation: 0.234 eV/atom
* calculated total energy: -22.52 eV per cell
* V: 30.00 Å³/atom
* SG: P4/mmm, No. 123

---

Record 11
A plane-wave DFT calculation with PBE-GGA was carried out for Sm2LuPa after structural relaxation.

Unit cell a=3.427 b=3.427 c=10.256 alpha=90.00 beta=90.00 gamma=90.00
Atoms (fractional coordinates):
Sm1 0.000 0.000 0.236
Sm2 0.000 0.000 0.764
Lu1 0.500 0.500 0.500
Pa1 0.500 0.500 0.000

Properties
* E above lowest polymorph: 0.0 meV/atom
* total magnetic moment: 0.00 Bohr magnetons per cell
* energy of formation: 0.160 eV/atom
* calculated total energy: -22.82 eV per cell
* V: 30.11 Å³/atom
* SG: P4/mmm, No. 123

---

Record 12
A plane-wave DFT calculation with PBE-GGA was carried out for SmLuThPa after structural relaxation.

Unit cell a=5.536 b=5.536 c=5.536 alpha=60.00 beta=60.00 gamma=60.00
Atoms (fractional coordinates):
Sm1 0.000 0.000 0.000
Lu1 0.750 0.750 0.750
Th1 0.500 0.500 0.500
Pa1 0.250 0.250 0.250

Properties
* total magnetic moment: 0.46 Bohr magnetons per cell
* energy of formation: 0.347 eV/atom
* calculated total energy: -24.77 eV per cell
* V: 30.00 Å³/atom
* SG: F-43m, No. 216

---

Record 13
A plane-wave DFT calculation with PBE-GGA was carried out for LuPaSn after structural relaxation.

Unit cell a=7.623 b=7.623 c=7.623 alpha=155.16 beta=155.16 gamma=35.41
Atoms (fractional coordinates):
Lu1 0.000 0.000 0.000
Pa1 0.674 0.674 0.000
Sn1 0.338 0.338 0.000

Properties
* E above lowest polymorph: 0.0 meV/atom
* total magnetic moment: 0.00 Bohr magnetons per cell
* energy of formation: -0.146 eV/atom
* calculated total energy: -18.46 eV per cell
* V: 26.01 Å³/atom
* SG: I4mm, No. 107

---

Record 14
A plane-wave DFT calculation with PBE-GGA was carried out for LuPaSn after structural relaxation.

Unit cell a=5.236 b=5.236 c=3.365 alpha=90.00 beta=90.00 gamma=120.00
Atoms (fractional coordinates):
Lu1 0.000 0.000 0.000
Pa1 0.333 0.667 0.532
Sn1 0.667 0.333 0.164

Properties
* E above lowest polymorph: 148.1 meV/atom
* total magnetic moment: 0.91 Bohr magnetons per cell
* energy of formation: 0.002 eV/atom
* calculated total energy: -18.01 eV per cell
* V: 26.63 Å³/atom
* SG: P3m1, No. 156

---

Record 15
A plane-wave DFT calculation with PBE-GGA was carried out for LuPaTcSn after structural relaxation.

Unit cell a=5.050 b=5.050 c=5.050 alpha=60.00 beta=60.00 gamma=60.00
Atoms (fractional coordinates):
Lu1 0.000 0.000 0.000
Pa1 0.500 0.500 0.500
Tc1 0.750 0.750 0.750
Sn1 0.250 0.250 0.250

Properties
* total magnetic moment: 0.00 Bohr magnetons per cell
* energy of formation: -0.063 eV/atom
* calculated total energy: -28.64 eV per cell
* V: 22.77 Å³/atom
* SG: F-43m, No. 216

---

Record 16
A plane-wave DFT calculation with PBE-GGA was carried out for LuPaTiSn after structural relaxation.

Unit cell a=5.029 b=5.029 c=5.029 alpha=60.00 beta=60.00 gamma=60.00
Atoms (fractional coordinates):
Lu1 0.000 0.000 0.000
Pa1 0.250 0.250 0.250
Ti1 0.500 0.500 0.500
Sn1 0.750 0.750 0.750

Properties
* total magnetic moment: 0.74 Bohr magnetons per cell
* energy of formation: -0.002 eV/atom
* calculated total energy: -25.92 eV per cell
* V: 22.48 Å³/atom
* SG: F-43m, No. 216

---

Record 17
A plane-wave DFT calculation with PBE-GGA was carried out for SrLu2Pa after structural relaxation.

Unit cell a=12.406 b=12.406 c=12.406 alpha=16.05 beta=16.05 gamma=16.05
Atoms (fractional coordinates):
Sr1 0.000 0.000 0.000
Lu1 0.095 0.095 0.095
Lu2 0.905 0.905 0.905
Pa1 0.500 0.500 0.500

Properties
* total magnetic moment: 0.00 Bohr magnetons per cell
* energy of formation: 0.306 eV/atom
* calculated total energy: -18.99 eV per cell
* V: 31.83 Å³/atom
* SG: R-3m, No. 166

---

Record 18
A plane-wave DFT calculation with PBE-GGA was carried out for LuPaTa4 after structural relaxation.

Unit cell a=5.667 b=5.667 c=5.667 alpha=60.00 beta=60.00 gamma=60.00
Atoms (fractional coordinates):
Lu1 0.000 0.000 0.000
Pa1 0.250 0.250 0.250
Ta1 0.127 0.624 0.624
Ta2 0.624 0.127 0.624
Ta3 0.624 0.624 0.127
Ta4 0.624 0.624 0.624

Properties
* total magnetic moment: 0.00 Bohr magnetons per cell
* energy of formation: 0.159 eV/atom
* calculated total energy: -60.47 eV per cell
* V: 21.45 Å³/atom
* SG: F-43m, No. 216

---

Record 19
A plane-wave DFT calculation with PBE-GGA was carried out for TbLuPa4 after structural relaxation.

Unit cell a=6.137 b=6.137 c=6.137 alpha=60.00 beta=60.00 gamma=60.00
Atoms (fractional coordinates):
Tb1 0.000 0.000 0.000
Lu1 0.750 0.750 0.750
Pa1 0.375 0.375 0.375
Pa2 0.375 0.375 0.875
Pa3 0.375 0.875 0.375
Pa4 0.875 0.375 0.375

Properties
* total magnetic moment: 0.00 Bohr magnetons per cell
* energy of formation: 0.233 eV/atom
* calculated total energy: -45.74 eV per cell
* V: 27.24 Å³/atom
* SG: F-43m, No. 216

---

Record 20
A plane-wave DFT calculation with PBE-GGA was carried out for TbLu2Pa after structural relaxation.

Unit cell a=3.395 b=3.395 c=9.951 alpha=90.00 beta=90.00 gamma=90.00
Atoms (fractional coordinates):
Tb1 0.000 0.000 0.000
Lu1 0.500 0.500 0.265
Lu2 0.500 0.500 0.735
Pa1 0.000 0.000 0.500

Properties
* E above lowest polymorph: 0.0 meV/atom
* total magnetic moment: 0.33 Bohr magnetons per cell
* energy of formation: 0.119 eV/atom
* calculated total energy: -22.69 eV per cell
* V: 28.68 Å³/atom
* SG: P4/mmm, No. 123